[1]
! Cs2InHg | Alexandria via LeMat-Bulk | PBE-GGA | relaxed; values from VASP
&SYSTEM
  ibrav = 0, nat = 4, ntyp = 3
/
ATOMIC_SPECIES
Cs 132.91 Cs.upf
In 114.82 In.upf
Hg 200.59 Hg.upf
CELL_PARAMETERS angstrom
6.6853 0.0000 0.0000
0.0000 6.6853 0.0000
0.0000 0.0000 4.4097
ATOMIC_POSITIONS angstrom
Cs 0.0000 3.3426 0.0000
Cs 3.3426 0.0000 0.0000
In 0.0000 0.0000 2.2049
Hg 3.3426 3.3426 2.2049
! DOS(E_F)	5.2	states/eV per cell
! final energy	-1.193	eV/atom
! space group	P4/mmm, No. 123


[2]
! Ce2PrIn2Hg2 | Alexandria via LeMat-Bulk | PBE-GGA | relaxed; values from VASP
&SYSTEM
  ibrav = 0, nat = 7, ntyp = 4
/
ATOMIC_SPECIES
Ce 140.12 Ce.upf
Pr 140.91 Pr.upf
In 114.82 In.upf
Hg 200.59 Hg.upf
CELL_PARAMETERS angstrom
2.4168 1.3953 9.3660
-2.4168 1.3953 9.3660
0.0000 -2.7906 9.3660
ATOMIC_POSITIONS angstrom
Ce 0.0000 0.0000 4.0428
Ce 0.0000 0.0000 24.0553
Pr 0.0000 0.0000 0.0000
In 0.0000 0.0000 7.5459
In 0.0000 0.0000 20.5522
Hg 0.0000 0.0000 11.9226
Hg 0.0000 0.0000 16.1755
! DOS(E_F)	13.3	states/eV per cell
! final energy	-3.518	eV/atom
! space group	R-3m, No. 166


[3]
! TbTm2ScSb4 | Alexandria via LeMat-Bulk | PBE-GGA | relaxed; values from VASP
&SYSTEM
  ibrav = 0, nat = 8, ntyp = 4
/
ATOMIC_SPECIES
Tb 158.93 Tb.upf
Tm 168.93 Tm.upf
Sc 44.96 Sc.upf
Sb 121.76 Sb.upf
CELL_PARAMETERS angstrom
-3.0532 3.0532 6.0938
3.0532 -3.0532 6.0938
3.0532 3.0532 -6.0938
ATOMIC_POSITIONS angstrom
Tb 0.0000 0.0000 0.0000
Tm 3.0532 0.0000 3.0469
Tm 0.0000 3.0532 3.0469
Sc 0.0000 0.0000 6.0938
Sb 3.0532 0.0000 0.0000
Sb 0.0000 0.0000 3.1205
Sb 0.0000 3.0532 0.0000
Sb 0.0000 0.0000 9.0671
! DOS(E_F)	1.2	states/eV per cell
! final energy	-5.594	eV/atom
! ΔE_f (raw)	-1045	meV per atom
! space group	I4/mmm, No. 139


[4]
! CrSeS2 | Alexandria via LeMat-Bulk | PBE-GGA | relaxed; values from VASP
&SYSTEM
  ibrav = 0, nat = 4, ntyp = 3
/
ATOMIC_SPECIES
Cr 52.00 Cr.upf
Se 78.96 Se.upf
S 32.06 S.upf
CELL_PARAMETERS angstrom
1.7350 1.0017 7.4704
-1.7350 1.0017 7.4704
0.0000 -2.0035 7.4704
ATOMIC_POSITIONS angstrom
Cr 0.0000 0.0000 0.0000
Se 0.0000 0.0000 11.2056
S 0.0000 0.0000 8.7593
S 0.0000 0.0000 13.6520
! DOS(E_F)	1.9	states/eV per cell
! final energy	-5.640	eV/atom
! ΔE_f (raw)	-300	meV per atom
! space group	R-3m, No. 166


[5]
! Zr3HgH3 | Alexandria via LeMat-Bulk | PBE-GGA | relaxed; values from VASP
&SYSTEM
  ibrav = 0, nat = 14, ntyp = 3
/
ATOMIC_SPECIES
Zr 91.22 Zr.upf
Hg 200.59 Hg.upf
H 1.01 H.upf
CELL_PARAMETERS angstrom
5.7868 0.0000 0.0000
0.0000 5.7868 0.0000
0.0000 0.0000 5.7868
ATOMIC_POSITIONS angstrom
Zr 0.0000 1.4467 2.8934
Zr 0.0000 4.3401 2.8934
Zr 1.4467 2.8934 0.0000
Zr 2.8934 0.0000 1.4467
Zr 2.8934 0.0000 4.3401
Zr 4.3401 2.8934 0.0000
Hg 0.0000 0.0000 0.0000
Hg 2.8934 2.8934 2.8934
H 0.0000 2.8934 1.4467
H 0.0000 2.8934 4.3401
H 1.4467 0.0000 2.8934
H 2.8934 1.4467 0.0000
H 2.8934 4.3401 0.0000
H 4.3401 0.0000 2.8934
! DOS(E_F)	7.9	states/eV per cell
! final energy	-5.539	eV/atom
! space group	Pm-3n, No. 223


[6]
! TlTcAs | Alexandria via LeMat-Bulk | PBE-GGA | relaxed; values from VASP
&SYSTEM
  ibrav = 0, nat = 3, ntyp = 3
/
ATOMIC_SPECIES
Tl 204.38 Tl.upf
Tc 98.00 Tc.upf
As 74.92 As.upf
CELL_PARAMETERS angstrom
-1.6350 1.6350 5.3987
1.6350 -1.6350 5.3987
1.6350 1.6350 -5.3987
ATOMIC_POSITIONS angstrom
Tl 0.0000 0.0000 0.0000
Tc 0.0000 0.0000 7.4879
As 0.0000 0.0000 3.1439
! DOS(E_F)	2.5	states/eV per cell
! final energy	-5.600	eV/atom
! ΔE to the lowest computed polymorph	201	meV/atom
! space group	I4mm, No. 107


[7]
! Rb2CdSb3Pt4 | Alexandria via LeMat-Bulk | PBE-GGA | relaxed; values from VASP
&SYSTEM
  ibrav = 0, nat = 10, ntyp = 4
/
ATOMIC_SPECIES
Rb 85.47 Rb.upf
Cd 112.41 Cd.upf
Sb 121.76 Sb.upf
Pt 195.08 Pt.upf
CELL_PARAMETERS angstrom
4.8369 0.0000 0.0000
0.0000 4.8369 0.0000
0.0000 0.0000 10.5709
ATOMIC_POSITIONS angstrom
Rb 0.0000 2.4184 2.6349
Rb 2.4184 0.0000 7.9360
Cd 0.0000 0.0000 5.2854
Sb 0.0000 2.4184 9.3091
Sb 2.4184 0.0000 1.2617
Sb 2.4184 2.4184 5.2854
Pt 0.0000 0.0000 0.0000
Pt 0.0000 2.4184 6.6059
Pt 2.4184 0.0000 3.9649
Pt 2.4184 2.4184 0.0000
! DOS(E_F)	5.9	states/eV per cell
! final energy	-4.335	eV/atom
! ΔE_f (raw)	-397	meV per atom
! space group	P-4m2, No. 115


[8]
! La6Co4Hg | Alexandria via LeMat-Bulk | PBE-GGA | relaxed; values from VASP
&SYSTEM
  ibrav = 0, nat = 22, ntyp = 3
/
ATOMIC_SPECIES
La 138.91 La.upf
Co 58.93 Co.upf
Hg 200.59 Hg.upf
CELL_PARAMETERS angstrom
2.0797 -6.7123 0.0000
2.0797 6.7123 0.0000
0.0000 0.0000 20.6782
ATOMIC_POSITIONS angstrom
La 0.0000 0.0000 0.0000
La 0.0000 0.0000 10.3391
La 2.0797 4.6941 15.5087
La 2.0797 3.1658 1.7670
La 2.0797 3.1658 8.5721
La 2.0797 0.4761 13.3977
La 2.0797 0.4761 17.6196
La 2.0797 -0.4761 3.0586
La 2.0797 -0.4761 7.2805
La 2.0797 -3.1658 12.1061
La 2.0797 -3.1658 18.9112
La 2.0797 -4.6941 5.1696
Co 2.0797 5.2554 13.0627
Co 2.0797 5.2554 17.9546
Co 2.0797 1.7975 11.2580
Co 2.0797 1.7975 19.7593
Co 2.0797 -1.7975 0.9189
Co 2.0797 -1.7975 9.4202
Co 2.0797 -5.2554 2.7236
Co 2.0797 -5.2554 7.6155
Hg 2.0797 4.6482 5.1696
Hg 2.0797 -4.6482 15.5087
! DOS(E_F)	13.6	states/eV per cell
! final energy	-5.414	eV/atom
! space group	Cmcm, No. 63


[9]
! CdReF6 | Alexandria via LeMat-Bulk | PBE-GGA | relaxed; values from VASP
&SYSTEM
  ibrav = 0, nat = 8, ntyp = 3
/
ATOMIC_SPECIES
Cd 112.41 Cd.upf
Re 186.21 Re.upf
F 19.00 F.upf
CELL_PARAMETERS angstrom
5.3657 0.0000 0.0000
2.6796 4.6519 0.0000
2.6783 1.5483 5.0103
ATOMIC_POSITIONS angstrom
Cd 0.0000 0.0000 0.0000
Re 5.3618 3.1001 2.5051
F 4.6240 4.5248 3.6722
F 3.7597 3.1756 1.3370
F 4.4959 1.7487 3.6715
F 6.2277 4.4515 1.3388
F 6.9639 3.0246 3.6733
F 6.0996 1.6754 1.3381
! final energy	-5.171	eV/atom
! ΔE to the lowest computed polymorph	0	meV/atom
! ΔE_f (raw)	-2097	meV per atom
! space group	P-1, No. 2


[10]
! AgSnBO2 | Alexandria via LeMat-Bulk | PBE-GGA | relaxed; values from VASP
&SYSTEM
  ibrav = 0, nat = 5, ntyp = 4
/
ATOMIC_SPECIES
Ag 107.87 Ag.upf
Sn 118.71 Sn.upf
B 10.81 B.upf
O 16.00 O.upf
CELL_PARAMETERS angstrom
4.1423 0.0000 0.0000
0.0000 4.1423 0.0000
0.0000 0.0000 4.4781
ATOMIC_POSITIONS angstrom
Ag 0.0000 0.0000 0.0000
Sn 2.0711 2.0711 2.2391
B 2.0711 2.0711 0.0000
O 0.0000 2.0711 2.2391
O 2.0711 0.0000 2.2391
! DOS(E_F)	2.3	states/eV per cell
! final energy	-4.331	eV/atom
! ΔE_f (raw)	359	meV per atom
! space group	P4/mmm, No. 123


[11]
! Na2LaAsS | Alexandria via LeMat-Bulk | PBE-GGA | relaxed; values from VASP
&SYSTEM
  ibrav = 0, nat = 5, ntyp = 4
/
ATOMIC_SPECIES
Na 22.99 Na.upf
La 138.91 La.upf
As 74.92 As.upf
S 32.06 S.upf
CELL_PARAMETERS angstrom
6.7541 0.0000 0.0000
0.0000 6.7541 0.0000
0.0000 0.0000 5.2584
ATOMIC_POSITIONS angstrom
Na 0.0000 3.3770 0.0000
Na 3.3770 0.0000 0.0000
La 0.0000 0.0000 0.0000
As 0.0000 0.0000 2.6292
S 3.3770 3.3770 2.6292
! DOS(E_F)	7.0	states/eV per cell
! final energy	-2.640	eV/atom
! ΔE_f (raw)	628	meV per atom
! space group	P4/mmm, No. 123


[12]
! YZr2Mo | Alexandria via LeMat-Bulk | PBE-GGA | relaxed; values from VASP
&SYSTEM
  ibrav = 0, nat = 4, ntyp = 3
/
ATOMIC_SPECIES
Y 88.91 Y.upf
Zr 91.22 Zr.upf
Mo 95.94 Mo.upf
CELL_PARAMETERS angstrom
3.5972 0.0000 0.0000
0.0000 4.9113 0.0000
0.0000 0.0000 4.9865
ATOMIC_POSITIONS angstrom
Y 0.0000 0.0000 0.0000
Zr 0.0000 2.4556 2.4932
Zr 1.7986 2.4556 0.0000
Mo 1.7986 0.0000 2.4932
! DOS(E_F)	7.2	states/eV per cell
! final energy	-8.260	eV/atom
! ΔE to the lowest computed polymorph	268	meV/atom
! space group	Pmmm, No. 47